ScTi2AuN: optimized geometry, GGA-PBE.

Values from the calculation:
ΔE to the lowest computed polymorph   0.00 eV per formula unit
Energy   -7.805 eV per atom
M_tot   0.000 μB per atom
Formation energy without anion corrections   -1.06 eV/atom
ρ   7.7 Mg/m³

The structure in CIF format:
```
data_ScTi2AuN
_symmetry_space_group_name_H-M 'P 1'
_symmetry_Int_Tables_number 1
_cell_length_a 4.1494
_cell_length_b 4.1494
_cell_length_c 4.3798
_cell_angle_alpha 90.00
_cell_angle_beta 90.00
_cell_angle_gamma 90.00
loop_
_symmetry_equiv_pos_as_xyz
'x,y,z'
loop_
_atom_site_label
_atom_site_type_symbol
_atom_site_fract_x
_atom_site_fract_y
_atom_site_fract_z
Sc1 Sc 0.0000 0.0000 0.0000
Ti1 Ti 0.0000 0.5000 0.5000
Ti2 Ti 0.5000 0.0000 0.5000
Au1 Au 0.5000 0.5000 0.0000
N1 N 0.0000 0.0000 0.5000
```



SmGdTmRu: optimized geometry, GGA-PBE.

Values from the calculation:
E_form   0.1132 eV/atom
Energy   -8.024 eV per atom
M_tot   1.824 μB per atom
ρ   9.7 Mg/m³

The structure in CIF format:
```
data_SmGdTmRu
_symmetry_space_group_name_H-M 'P 1'
_symmetry_Int_Tables_number 1
_cell_length_a 5.1851
_cell_length_b 5.1851
_cell_length_c 5.1851
_cell_angle_alpha 60.00
_cell_angle_beta 60.00
_cell_angle_gamma 60.00
loop_
_symmetry_equiv_pos_as_xyz
'x,y,z'
loop_
_atom_site_label
_atom_site_type_symbol
_atom_site_fract_x
_atom_site_fract_y
_atom_site_fract_z
Sm1 Sm 0.0000 0.0000 0.0000
Gd1 Gd 0.5000 0.5000 0.5000
Tm1 Tm 0.2500 0.2500 0.2500
Ru1 Ru 0.7500 0.7500 0.7500
```



PmThCu10: optimized geometry, GGA-PBE.

Values from the calculation:
E_form   -0.1531 eV/atom
Energy   -4.581 eV per atom
M_tot   0.000 μB per atom
ρ   9.0 Mg/m³

The structure in CIF format:
```
data_PmThCu10
_symmetry_space_group_name_H-M 'P 1'
_symmetry_Int_Tables_number 1
_cell_length_a 4.1170
_cell_length_b 5.1431
_cell_length_c 8.8101
_cell_angle_alpha 90.00
_cell_angle_beta 90.00
_cell_angle_gamma 90.00
loop_
_symmetry_equiv_pos_as_xyz
'x,y,z'
loop_
_atom_site_label
_atom_site_type_symbol
_atom_site_fract_x
_atom_site_fract_y
_atom_site_fract_z
Pm1 Pm 0.0000 0.0000 0.0000
Th1 Th 0.0000 0.5000 0.5000
Cu1 Cu 0.0000 0.0000 0.3324
Cu2 Cu 0.0000 0.0000 0.6676
Cu3 Cu 0.0000 0.5000 0.1651
Cu4 Cu 0.0000 0.5000 0.8349
Cu5 Cu 0.5000 0.0000 0.5000
Cu6 Cu 0.5000 0.2513 0.2511
Cu7 Cu 0.5000 0.2513 0.7489
Cu8 Cu 0.5000 0.5000 0.0000
Cu9 Cu 0.5000 0.7487 0.2511
Cu10 Cu 0.5000 0.7487 0.7489
```



Y3HgP: optimized geometry, GGA-PBE.

Values from the calculation:
E_form   -0.6216 eV/atom
ΔE to the lowest computed polymorph   0.00 eV per formula unit
Energy   -5.642 eV per atom
M_tot   0.000 μB per atom
ρ   5.7 Mg/m³

The structure in CIF format:
```
data_Y3HgP
_symmetry_space_group_name_H-M 'P 1'
_symmetry_Int_Tables_number 1
_cell_length_a 5.2544
_cell_length_b 5.2544
_cell_length_c 5.2544
_cell_angle_alpha 90.00
_cell_angle_beta 90.00
_cell_angle_gamma 90.00
loop_
_symmetry_equiv_pos_as_xyz
'x,y,z'
loop_
_atom_site_label
_atom_site_type_symbol
_atom_site_fract_x
_atom_site_fract_y
_atom_site_fract_z
Y1 Y 0.0000 0.0000 0.5000
Y2 Y 0.0000 0.5000 0.0000
Y3 Y 0.5000 0.0000 0.0000
Hg1 Hg 0.5000 0.5000 0.5000
P1 P 0.0000 0.0000 0.0000
```



Nb2Se: optimized geometry, GGA-PBE.

Values from the calculation:
Energy   -8.415 eV per atom
M_tot   0.000 μB per atom
Formation energy without anion corrections   -0.54 eV/atom
ρ   7.7 Mg/m³

The structure in CIF format:
```
data_Nb2Se
_symmetry_space_group_name_H-M 'P 1'
_symmetry_Int_Tables_number 1
_cell_length_a 7.2538
_cell_length_b 7.2538
_cell_length_c 9.3616
_cell_angle_alpha 92.25
_cell_angle_beta 92.25
_cell_angle_gamma 27.46
loop_
_symmetry_equiv_pos_as_xyz
'x,y,z'
loop_
_atom_site_label
_atom_site_type_symbol
_atom_site_fract_x
_atom_site_fract_y
_atom_site_fract_z
Nb1 Nb 0.0845 0.0845 0.3986
Nb2 Nb 0.2170 0.2170 0.1242
Nb3 Nb 0.2565 0.2565 0.6229
Nb4 Nb 0.4135 0.4135 0.3541
Nb5 Nb 0.5865 0.5865 0.6459
Nb6 Nb 0.7435 0.7435 0.3771
Nb7 Nb 0.7830 0.7830 0.8758
Nb8 Nb 0.9155 0.9155 0.6014
Se1 Se 0.1393 0.1393 0.8612
Se2 Se 0.4247 0.4247 0.8159
Se3 Se 0.5753 0.5753 0.1841
Se4 Se 0.8607 0.8607 0.1388
```



Np2Ge3Pt9: optimized geometry, GGA-PBE.

Values from the calculation:
E_form   -0.5179 eV/atom
Energy   -7.239 eV per atom
M_tot   0.503 μB per atom
ρ   16.7 Mg/m³

The structure in CIF format:
```
data_Np2Ge3Pt9
_symmetry_space_group_name_H-M 'P 1'
_symmetry_Int_Tables_number 1
_cell_length_a 7.8721
_cell_length_b 7.8721
_cell_length_c 10.1929
_cell_angle_alpha 113.52
_cell_angle_beta 113.52
_cell_angle_gamma 60.36
loop_
_symmetry_equiv_pos_as_xyz
'x,y,z'
loop_
_atom_site_label
_atom_site_type_symbol
_atom_site_fract_x
_atom_site_fract_y
_atom_site_fract_z
Np1 Np 0.0854 0.2573 0.2496
Np2 Np 0.2573 0.0854 0.7496
Np3 Np 0.7427 0.9146 0.2504
Np4 Np 0.9146 0.7427 0.7504
Ge1 Ge 0.0000 0.5000 0.0000
Ge2 Ge 0.1374 0.6863 0.5052
Ge3 Ge 0.3137 0.8626 0.9948
Ge4 Ge 0.5000 0.0000 0.5000
Ge5 Ge 0.6863 0.1374 0.0052
Ge6 Ge 0.8626 0.3137 0.4948
Pt1 Pt 0.0196 0.8593 0.0823
Pt2 Pt 0.1407 0.9804 0.4177
Pt3 Pt 0.1958 0.3599 0.5782
Pt4 Pt 0.2117 0.5823 0.2647
Pt5 Pt 0.2925 0.4845 0.9272
Pt6 Pt 0.3599 0.1958 0.0782
Pt7 Pt 0.3683 0.6317 0.7500
Pt8 Pt 0.4177 0.7883 0.2353
Pt9 Pt 0.4845 0.2925 0.4272
Pt10 Pt 0.5155 0.7075 0.5728
Pt11 Pt 0.5823 0.2117 0.7647
Pt12 Pt 0.6317 0.3683 0.2500
Pt13 Pt 0.6401 0.8042 0.9218
Pt14 Pt 0.7075 0.5155 0.0728
Pt15 Pt 0.7883 0.4177 0.7353
Pt16 Pt 0.8042 0.6401 0.4218
Pt17 Pt 0.8593 0.0196 0.5823
Pt18 Pt 0.9804 0.1407 0.9177
```



AcLa7Nd2: optimized geometry, GGA-PBE.

Values from the calculation:
E_form   0.5197 eV/atom
ΔE to the lowest computed polymorph   4.65 eV per formula unit
Energy   -4.294 eV per atom
M_tot   0.000 μB per atom
ρ   5.8 Mg/m³

The structure in CIF format:
```
data_AcLa7Nd2
_symmetry_space_group_name_H-M 'P 1'
_symmetry_Int_Tables_number 1
_cell_length_a 9.3420
_cell_length_b 9.3420
_cell_length_c 5.7756
_cell_angle_alpha 90.00
_cell_angle_beta 90.00
_cell_angle_gamma 121.55
loop_
_symmetry_equiv_pos_as_xyz
'x,y,z'
loop_
_atom_site_label
_atom_site_type_symbol
_atom_site_fract_x
_atom_site_fract_y
_atom_site_fract_z
Ac1 Ac 0.0000 0.0000 0.0000
La1 La 0.0687 0.3047 0.5000
La2 La 0.2459 0.7541 0.0000
La3 La 0.3047 0.0687 0.5000
La4 La 0.5000 0.5000 0.5000
La5 La 0.6953 0.9313 0.5000
La6 La 0.7541 0.2459 0.0000
La7 La 0.9313 0.6953 0.5000
Nd1 Nd 0.3011 0.6989 0.5000
Nd2 Nd 0.6989 0.3011 0.5000
```



BeAs2Se: optimized geometry, GGA-PBE.

Values from the calculation:
ΔE to the lowest computed polymorph   2.38 eV per formula unit
Energy   -3.822 eV per atom
M_tot   0.000 μB per atom
Formation energy without anion corrections   0.31 eV/atom
ρ   5.5 Mg/m³

The structure in CIF format:
```
data_BeAs2Se
_symmetry_space_group_name_H-M 'P 1'
_symmetry_Int_Tables_number 1
_cell_length_a 5.8913
_cell_length_b 5.8913
_cell_length_c 5.8913
_cell_angle_alpha 147.41
_cell_angle_beta 139.16
_cell_angle_gamma 53.19
loop_
_symmetry_equiv_pos_as_xyz
'x,y,z'
loop_
_atom_site_label
_atom_site_type_symbol
_atom_site_fract_x
_atom_site_fract_y
_atom_site_fract_z
Be1 Be 0.0000 0.0000 0.0000
As1 As 0.1779 0.6779 0.5000
As2 As 0.8221 0.3221 0.5000
Se1 Se 0.5000 0.5000 0.0000
```



Ba2Rh3PbO8: optimized geometry, GGA-PBE.

Values from the calculation:
Energy   -6.229 eV per atom
M_tot   0.036 μB per atom
Formation energy without anion corrections   -1.28 eV/atom
ρ   6.8 Mg/m³

The structure in CIF format:
```
data_Ba2Rh3PbO8
_symmetry_space_group_name_H-M 'P 1'
_symmetry_Int_Tables_number 1
_cell_length_a 7.1633
_cell_length_b 7.1633
_cell_length_c 7.1633
_cell_angle_alpha 54.33
_cell_angle_beta 54.33
_cell_angle_gamma 54.33
loop_
_symmetry_equiv_pos_as_xyz
'x,y,z'
loop_
_atom_site_label
_atom_site_type_symbol
_atom_site_fract_x
_atom_site_fract_y
_atom_site_fract_z
Ba1 Ba 0.0000 0.0000 0.0000
Ba2 Ba 0.3739 0.3739 0.3739
Rh1 Rh 0.3737 0.3737 0.8777
Rh2 Rh 0.3737 0.8777 0.3737
Rh3 Rh 0.8777 0.3737 0.3737
Pb1 Pb 0.7709 0.7709 0.7709
O1 O 0.1155 0.1155 0.5579
O2 O 0.1155 0.5579 0.1155
O3 O 0.1520 0.1520 0.1520
O4 O 0.1847 0.6353 0.6353
O5 O 0.5579 0.1155 0.1155
O6 O 0.5957 0.5957 0.5957
O7 O 0.6353 0.1847 0.6353
O8 O 0.6353 0.6353 0.1847
```



KBaPmF6: optimized geometry, GGA-PBE.

Values from the calculation:
Energy   -5.798 eV per atom
M_tot   0.031 μB per atom
Formation energy without anion corrections   -3.69 eV/atom
ρ   3.7 Mg/m³

The structure in CIF format:
```
data_KBaPmF6
_symmetry_space_group_name_H-M 'P 1'
_symmetry_Int_Tables_number 1
_cell_length_a 6.5363
_cell_length_b 6.5363
_cell_length_c 10.5397
_cell_angle_alpha 90.00
_cell_angle_beta 90.00
_cell_angle_gamma 120.00
loop_
_symmetry_equiv_pos_as_xyz
'x,y,z'
loop_
_atom_site_label
_atom_site_type_symbol
_atom_site_fract_x
_atom_site_fract_y
_atom_site_fract_z
K1 K 0.3333 0.6667 0.2500
K2 K 0.6667 0.3333 0.7500
Ba1 Ba 0.0000 0.0000 0.0000
Ba2 Ba 0.0000 0.0000 0.5000
Pm1 Pm 0.3333 0.6667 0.7500
Pm2 Pm 0.6667 0.3333 0.2500
F1 F 0.0467 0.3627 0.6352
F2 F 0.0467 0.6840 0.8648
F3 F 0.3160 0.3627 0.8648
F4 F 0.3160 0.9533 0.6352
F5 F 0.3627 0.0467 0.1352
F6 F 0.3627 0.3160 0.3648
F7 F 0.6373 0.6840 0.6352
F8 F 0.6373 0.9533 0.8648
F9 F 0.6840 0.0467 0.3648
F10 F 0.6840 0.6373 0.1352
F11 F 0.9533 0.3160 0.1352
F12 F 0.9533 0.6373 0.3648
```



Zr6TcRh: optimized geometry, GGA-PBE.

Values from the calculation:
E_form   -0.2993 eV/atom
Energy   -8.925 eV per atom
M_tot   0.000 μB per atom
ρ   7.6 Mg/m³

The structure in CIF format:
```
data_Zr6TcRh
_symmetry_space_group_name_H-M 'P 1'
_symmetry_Int_Tables_number 1
_cell_length_a 8.1738
_cell_length_b 8.1738
_cell_length_c 8.1738
_cell_angle_alpha 146.75
_cell_angle_beta 146.75
_cell_angle_gamma 47.74
loop_
_symmetry_equiv_pos_as_xyz
'x,y,z'
loop_
_atom_site_label
_atom_site_type_symbol
_atom_site_fract_x
_atom_site_fract_y
_atom_site_fract_z
Zr1 Zr 0.1088 0.6088 0.5000
Zr2 Zr 0.2468 0.2468 0.0000
Zr3 Zr 0.3912 0.8912 0.5000
Zr4 Zr 0.6088 0.1088 0.5000
Zr5 Zr 0.7532 0.7532 0.0000
Zr6 Zr 0.8912 0.3912 0.5000
Tc1 Tc 0.0000 0.0000 0.0000
Rh1 Rh 0.5000 0.5000 0.0000
```



ErTmMgPt: optimized geometry, GGA-PBE.

Values from the calculation:
E_form   -0.6260 eV/atom
Energy   -4.793 eV per atom
M_tot   0.000 μB per atom
ρ   10.3 Mg/m³

The structure in CIF format:
```
data_ErTmMgPt
_symmetry_space_group_name_H-M 'P 1'
_symmetry_Int_Tables_number 1
_cell_length_a 5.0266
_cell_length_b 5.0266
_cell_length_c 5.0266
_cell_angle_alpha 60.00
_cell_angle_beta 60.00
_cell_angle_gamma 60.00
loop_
_symmetry_equiv_pos_as_xyz
'x,y,z'
loop_
_atom_site_label
_atom_site_type_symbol
_atom_site_fract_x
_atom_site_fract_y
_atom_site_fract_z
Er1 Er 0.0000 0.0000 0.0000
Tm1 Tm 0.5000 0.5000 0.5000
Mg1 Mg 0.2500 0.2500 0.2500
Pt1 Pt 0.7500 0.7500 0.7500
```